# ZrPa2Pb

A relaxed structure of ZrPa2Pb (PBE, the Alexandria database).

Energy relative to the lowest polymorph listed for this composition: 0.000 eV/atom
Total magnetization: 0.00 μB/f.u.
E_form: -40 meV per atom

Lattice parameters (Å, degrees): 4.416 4.416 5.044 90.00 90.00 90.00
Positions (direct):
1 Zr 0.000 0.000 0.000
2 Pa 0.000 0.500 0.500
3 Pa 0.500 0.000 0.500
4 Pb 0.500 0.500 0.000